Entry 1:
Compound: Ac3CdHg2
Source: Alexandria via LeMat-Bulk
Functional: GGA-PBE
Structure: optimized geometry

Cell: 9.077 9.077 4.052 Å, 90.00 90.00 143.21°
Fractional positions:
Ac (0.000, 0.000, 0.000)
Ac (0.332, 0.668, 0.000)
Ac (0.668, 0.332, 0.000)
Cd (0.500, 0.500, 0.500)
Hg (0.163, 0.837, 0.500)
Hg (0.837, 0.163, 0.500)

density: 9.92 g/cm3
uncorrected energy: -2.721 eV per atom
symmetry: Cmmm, No. 65
total magnetic moment: 0.089 μB per atom
DFT formation energy: -2.5 eV per formula unit


Entry 2:
Compound: AcLa2SiN
Source: Alexandria via LeMat-Bulk
Functional: GGA-PBE
Structure: optimized geometry

Cell: 8.501 8.501 7.960 Å, 90.00 90.00 151.53°
Fractional positions:
Ac (0.002, 0.998, 0.750)
Ac (0.998, 0.002, 0.250)
La (0.352, 0.648, 0.510)
La (0.352, 0.648, 0.990)
La (0.648, 0.352, 0.010)
La (0.648, 0.352, 0.490)
Si (0.189, 0.811, 0.750)
Si (0.811, 0.189, 0.250)
N (0.500, 0.500, 0.000)
N (0.500, 0.500, 0.500)

uncorrected formation energy: -0.68 eV/atom
density: 6.62 g/cm3
uncorrected energy: -6.224 eV per atom
symmetry: Cmcm, No. 63
total magnetic moment: 0.000 μB per atom


Repeat the first record exactly.
Compound: Ac3CdHg2
Source: Alexandria via LeMat-Bulk
Functional: GGA-PBE
Structure: optimized geometry

Cell: 9.077 9.077 4.052 Å, 90.00 90.00 143.21°
Fractional positions:
Ac (0.000, 0.000, 0.000)
Ac (0.332, 0.668, 0.000)
Ac (0.668, 0.332, 0.000)
Cd (0.500, 0.500, 0.500)
Hg (0.163, 0.837, 0.500)
Hg (0.837, 0.163, 0.500)

density: 9.92 g/cm3
uncorrected energy: -2.721 eV per atom
symmetry: Cmmm, No. 65
total magnetic moment: 0.089 μB per atom
DFT formation energy: -2.5 eV per formula unit


The lowest total magnetic moment belongs to which entry?
AcLa2SiN


Look up the density of the first one.
9.92 g/cm3